1.
A relaxed structure of PmCr2MoO6. Source: Alexandria via LeMat-Bulk, functional PBE+U.

Lattice parameters (Å, degrees): 5.446 5.445 5.616 61.00 61.00 59.99
Fractional positions:
Pm  0.788  0.788  0.636
Cr  0.521  0.521  0.438
Cr  0.012  0.012  0.963
Mo  0.313  0.313  0.060
O  0.642  0.244  0.231
O  0.244  0.883  0.231
O  0.883  0.642  0.231
O  0.353  0.734  0.742
O  0.734  0.171  0.742
O  0.172  0.353  0.741

Size of the total moment ... 9.0 μB per formula unit
VASP energy ... -7.858 eV per atom

=====

2.
A relaxed structure of BeNiO2. Source: Alexandria via LeMat-Bulk, functional PBE+U.

Lattice parameters (Å, degrees): 5.323 5.323 5.323 33.47 33.47 33.47
Fractional positions:
Ni  0.500  0.500  0.500
O  0.905  0.905  0.905
O  0.095  0.095  0.095
Be  0.000  0.000  0.000

Size of the total moment ... 2.0 μB per formula unit
VASP energy ... -5.607 eV per atom

=====

The highest VASP energy belongs to which entry?
BeNiO2